Computed, not measured: a relaxed structure of YHoTi4 at the PBE-GGA level of DFT.

Cell: 5.8038 5.8038 5.8038 Å, 60.00 60.00 60.00°
Closest atoms and distances in Å follow each position.
Fractional coordinates of all 6 atoms:
Y 0.0000 0.0000 0.0000  12 Ti 3.40, 4 Ho 3.55
Ho 0.2500 0.2500 0.2500  12 Ti 3.40, 4 Y 3.55
Ti 0.1253 0.6249 0.6249  6 Ti 2.90
Ti 0.6249 0.1253 0.6249  6 Ti 2.90
Ti 0.6249 0.6249 0.1253  6 Ti 2.90
Ti 0.6249 0.6249 0.6249  6 Ti 2.90

Properties
* DFT formation energy: 1.4 eV/f.u.


Computed, not measured: a relaxed structure of HoTiZn4 at the PBE-GGA level of DFT.

Cell: 5.2643 5.2643 5.2643 Å, 60.00 60.00 60.00°
Closest atoms and distances in Å follow each position.
Fractional coordinates of all 6 atoms:
Ho 0.0000 0.0000 0.0000  12 Zn 3.09, 4 Ti 3.22
Ti 0.2500 0.2500 0.2500  12 Zn 3.08, 4 Ho 3.22
Zn 0.1273 0.6242 0.6242  6 Zn 2.62-2.65
Zn 0.6242 0.1273 0.6242  6 Zn 2.62-2.65
Zn 0.6242 0.6242 0.1273  6 Zn 2.62-2.65
Zn 0.6242 0.6242 0.6242  6 Zn 2.62-2.65

Properties
* DFT formation energy: -1.3 eV/f.u.


Computed, not measured: a relaxed structure of HoTiZn2 at the PBE-GGA level of DFT.

Cell: 3.3394 3.3394 6.7172 Å, 90.00 90.00 90.00°
Closest atoms and distances in Å follow each position.
Fractional coordinates of all 4 atoms:
Ho 0.0000 0.0000 0.0000  8 Zn 3.06, 4 Ho 3.34, 2 Ti 3.36
Ti 0.0000 0.0000 0.5000  8 Zn 2.75
Zn 0.5000 0.5000 0.2900  4 Ti 2.75, 1 Zn 2.82, 4 Ho 3.06
Zn 0.5000 0.5000 0.7100  4 Ti 2.75, 1 Zn 2.82, 4 Ho 3.06

Properties
* relative energy among the computed polymorphs: 0.00 eV per formula unit
* DFT formation energy: -0.8 eV/f.u.